DFT (PBE) results for HfTa4Os5 after structural relaxation.

Computed properties:
Crystal system ... tetragonal
ΔH_f (0 K) ... -0.308 eV per atom
E ... -11.659 eV per atom

abc: 3.246 3.246 15.589
angles: 90.00 90.00 90.00
Space group P4/mmm (No. 123)
Inequivalent atoms, fractional coordinates:
Hf 0.000 0.000 0.000 [1 per cell]
Ta 0.000 0.000 0.204 [2 per cell]
Ta 0.000 0.000 0.401 [2 per cell]
Os 0.500 0.500 0.105 [2 per cell]
Os 0.500 0.500 0.303 [2 per cell]
Os 0.500 0.500 0.500 [1 per cell]